Entry 1:
# LuTlPdRu

LuTlPdRu after structural relaxation (PBE, Alexandria via LeMat-Bulk).

As for the energy of formation from the pure elements: -0.3414 eV/atom.

abc: 4.7168 4.7168 4.7168
angles: 60.00 60.00 60.00
Last column: nearest neighbours and their distance in Å.
Positions (direct):
Lu: 0.0000 0.0000 0.0000  4 Ru 2.89, 4 Pd 2.89
Tl: 0.5000 0.5000 0.5000  4 Ru 2.89, 4 Pd 2.89
Pd: 0.2500 0.2500 0.2500  4 Tl 2.89, 4 Lu 2.89
Ru: 0.7500 0.7500 0.7500  4 Tl 2.89, 4 Lu 2.89

Entry 2:
# TmLuPdRu

TmLuPdRu after structural relaxation (PBE, Alexandria via LeMat-Bulk).

As for the energy of formation from the pure elements: -0.7443 eV/atom.

abc: 4.7916 4.7916 4.7916
angles: 60.00 60.00 60.00
Last column: nearest neighbours and their distance in Å.
Positions (direct):
Tm: 0.0000 0.0000 0.0000  4 Ru 2.93, 4 Pd 2.93
Lu: 0.5000 0.5000 0.5000  4 Ru 2.93, 4 Pd 2.93
Pd: 0.2500 0.2500 0.2500  4 Tm 2.93, 4 Lu 2.93
Ru: 0.7500 0.7500 0.7500  4 Lu 2.93, 4 Tm 2.93

Entry 3:
# LuSb2Pd

LuSb2Pd after structural relaxation (PBE, Alexandria via LeMat-Bulk).

The uncorrected formation energy is -0.1368 eV per atom.

abc: 10.1114 10.1114 10.1114
angles: 19.69 19.69 19.69
Last column: nearest neighbours and their distance in Å.
Positions (direct):
Lu: 0.0000 0.0000 0.0000  2 Sb 3.03
Sb: 0.1018 0.1018 0.1018  3 Pd 2.78, 1 Lu 3.03
Sb: 0.8982 0.8982 0.8982  3 Pd 2.78, 1 Lu 3.03
Pd: 0.5000 0.5000 0.5000  6 Sb 2.78

Entry 4:
# Lu2SbPd

Lu2SbPd after structural relaxation (PBE, Alexandria via LeMat-Bulk).

The uncorrected formation energy is -0.8005 eV per atom. Its energy relative to the lowest polymorph listed for this composition is 0.00 eV/f.u.

abc: 3.6162 3.6162 7.0793
angles: 90.00 90.00 90.00
Last column: nearest neighbours and their distance in Å.
Positions (direct):
Lu: 0.0000 0.0000 0.2309  4 Pd 3.03, 4 Sb 3.19, 1 Lu 3.27
Lu: 0.0000 0.0000 0.7691  4 Pd 3.03, 4 Sb 3.19, 1 Lu 3.27
Sb: 0.5000 0.5000 0.5000  8 Lu 3.19, 2 Pd 3.54
Pd: 0.5000 0.5000 0.0000  8 Lu 3.03

Entry 5:
# Lu5SbPd2

Lu5SbPd2 after structural relaxation (PBE, Alexandria via LeMat-Bulk).

The uncorrected formation energy is -0.7916 eV per atom.

abc: 8.6049 8.6049 8.6049
angles: 127.76 127.76 77.02
Last column: nearest neighbours and their distance in Å.
Positions (direct):
Lu: 0.0000 0.0000 0.0000  4 Pd 2.94
Lu: 0.0126 0.5126 0.8113  3 Pd 2.93-2.95, 2 Sb 3.20
Lu: 0.2012 0.0126 0.5000  3 Pd 2.93-2.95, 2 Sb 3.20
Lu: 0.2988 0.7988 0.8113  3 Pd 2.93-2.95, 2 Sb 3.20
Lu: 0.4874 0.2988 0.5000  3 Pd 2.93-2.95, 2 Sb 3.20
Lu: 0.5000 0.5000 0.0000  4 Pd 2.94
Lu: 0.5126 0.7012 0.5000  3 Pd 2.93-2.95, 2 Sb 3.20
Lu: 0.7012 0.2012 0.1887  3 Pd 2.93-2.95, 2 Sb 3.20
Lu: 0.7988 0.9874 0.5000  3 Pd 2.93-2.95, 2 Sb 3.20
Lu: 0.9874 0.4874 0.1887  3 Pd 2.93-2.95, 2 Sb 3.20
Sb: 0.2500 0.2500 0.0000  10 Lu 3.20-3.37
Sb: 0.7500 0.7500 0.0000  10 Lu 3.20-3.37
Pd: 0.1379 0.3621 0.5000  8 Lu 2.93-2.95, 1 Pd 2.96
Pd: 0.3621 0.8621 0.2242  8 Lu 2.93-2.95, 1 Pd 2.96
Pd: 0.6379 0.1379 0.7758  8 Lu 2.93-2.95, 1 Pd 2.96
Pd: 0.8621 0.6379 0.5000  8 Lu 2.93-2.95, 1 Pd 2.96

Entry 6:
# LuScPd2

LuScPd2 after structural relaxation (PBE, Alexandria via LeMat-Bulk).

Its energy relative to the lowest polymorph listed for this composition is 0.00 eV/f.u. As for the energy of formation from the pure elements: -0.9266 eV/atom.

abc: 4.7797 4.7797 4.7797
angles: 60.00 60.00 60.00
Last column: nearest neighbours and their distance in Å.
Positions (direct):
Lu: 0.0000 0.0000 0.0000  8 Pd 2.93
Sc: 0.5000 0.5000 0.5000  8 Pd 2.93
Pd: 0.2500 0.2500 0.2500  4 Sc 2.93, 4 Lu 2.93
Pd: 0.7500 0.7500 0.7500  4 Sc 2.93, 4 Lu 2.93

Entry 7:
# LuSc2Pd

LuSc2Pd after structural relaxation (PBE, Alexandria via LeMat-Bulk).

As for the energy of formation from the pure elements: -0.3998 eV/atom.

abc: 3.3793 3.3793 7.8915
angles: 90.00 90.00 90.00
Last column: nearest neighbours and their distance in Å.
Positions (direct):
Lu: 0.0000 0.0000 0.0000  8 Sc 3.36, 4 Lu 3.38
Sc: 0.5000 0.5000 0.2986  4 Pd 2.87, 1 Sc 3.18
Sc: 0.5000 0.5000 0.7014  4 Pd 2.87, 1 Sc 3.18
Pd: 0.0000 0.0000 0.5000  8 Sc 2.87

Entry 8:
# LuScPd2

LuScPd2 after structural relaxation (PBE, Alexandria via LeMat-Bulk).

Its energy relative to the lowest polymorph listed for this composition is 0.00 eV/f.u. As for the energy of formation from the pure elements: -0.9262 eV/atom.

abc: 4.8167 4.8167 3.3105
angles: 90.00 90.00 90.00
Last column: nearest neighbours and their distance in Å.
Positions (direct):
Lu: 0.0000 0.0000 0.0000  8 Pd 2.92
Sc: 0.5000 0.5000 0.0000  8 Pd 2.92
Pd: 0.0000 0.5000 0.5000  4 Sc 2.92, 4 Lu 2.92
Pd: 0.5000 0.0000 0.5000  4 Sc 2.92, 4 Lu 2.92

Entry 9:
# TmLuScPd

TmLuScPd after structural relaxation (PBE, Alexandria via LeMat-Bulk).

As for the energy of formation from the pure elements: -0.2247 eV/atom.

abc: 5.0810 5.0810 5.0810
angles: 60.00 60.00 60.00
Last column: nearest neighbours and their distance in Å.
Positions (direct):
Tm: 0.0000 0.0000 0.0000  4 Sc 3.11, 4 Pd 3.11
Lu: 0.5000 0.5000 0.5000  4 Sc 3.11, 4 Pd 3.11
Sc: 0.7500 0.7500 0.7500  4 Tm 3.11, 4 Lu 3.11
Pd: 0.2500 0.2500 0.2500  4 Tm 3.11, 4 Lu 3.11

Entry 10:
# YLuScPd

YLuScPd after structural relaxation (PBE, Alexandria via LeMat-Bulk).

As for the energy of formation from the pure elements: -0.2027 eV/atom.

abc: 5.1188 5.1188 5.1188
angles: 60.00 60.00 60.00
Last column: nearest neighbours and their distance in Å.
Positions (direct):
Y: 0.0000 0.0000 0.0000  4 Sc 3.13, 4 Pd 3.13
Lu: 0.5000 0.5000 0.5000  4 Sc 3.13, 4 Pd 3.13
Sc: 0.7500 0.7500 0.7500  4 Lu 3.13, 4 Y 3.13
Pd: 0.2500 0.2500 0.2500  4 Lu 3.13, 4 Y 3.13

Entry 11:
# LuSiPd

LuSiPd after structural relaxation (PBE, Alexandria via LeMat-Bulk).

The uncorrected formation energy is -0.9522 eV per atom.

abc: 4.3192 4.3192 3.3952
angles: 90.00 90.00 120.00
Last column: nearest neighbours and their distance in Å.
Positions (direct):
Lu: 0.0000 0.0000 0.0000  6 Pd 3.02, 6 Si 3.02
Si: 0.6667 0.3333 0.5000  3 Pd 2.49
Pd: 0.3333 0.6667 0.5000  3 Si 2.49

Entry 12:
# Lu3Si4Pd4

Lu3Si4Pd4 after structural relaxation (PBE, Alexandria via LeMat-Bulk).

The uncorrected formation energy is -0.9065 eV per atom.

abc: 12.6843 12.6843 4.1811
angles: 99.44 99.44 17.34
Last column: nearest neighbours and their distance in Å.
Positions (direct):
Lu: 0.0000 0.0000 0.0000  4 Pd 3.02, 8 Si 3.06-3.07
Lu: 0.1443 0.1443 0.6444  6 Si 3.06-3.07, 8 Pd 3.09-3.39
Lu: 0.8557 0.8557 0.3556  6 Si 3.06-3.07, 8 Pd 3.09-3.39
Si: 0.3087 0.3087 0.8082  5 Pd 2.39-2.51
Si: 0.4528 0.4528 0.4528  1 Si 2.34, 2 Pd 2.40
Si: 0.5472 0.5472 0.5472  1 Si 2.34, 2 Pd 2.40
Si: 0.6913 0.6913 0.1918  5 Pd 2.39-2.51
Pd: 0.2523 0.2523 0.2523  4 Si 2.44-2.51
Pd: 0.4052 0.4052 0.9053  3 Si 2.39-2.40
Pd: 0.5948 0.5948 0.0947  3 Si 2.39-2.40
Pd: 0.7477 0.7477 0.7477  4 Si 2.44-2.51